First-principles (PBEsol) data for a geometry-optimized NaAgPb2O structure, as listed in Alexandria via LeMat-Bulk.

Lattice parameters (Å, degrees): 5.453 5.453 3.903 90.00 90.00 90.00
Space group P4/mmm (No. 123)
One atom of each set of equivalent atoms:
Na  0.000  0.000  0.000 [1 per cell]
Ag  0.500  0.500  0.500 [1 per cell]
Pb  0.000  0.500  0.000 [2 per cell]
O  0.000  0.000  0.500 [1 per cell]

Calculated values
DOS at the Fermi energy in states/eV per cell: 3.1
Raw formation energy in eV/atom: 0.394
Total magnetic moment in μB per formula unit: 0.00
Total DFT energy (no corrections) in eV per atom: -3.197